Density functional theory data (PBE with a Hubbard U) for CrTc2AsF after structural relaxation.

Results
The volume is 76.20 Å³ per cell. As for the total energy: -6.1222 eV/atom.

a = 4.582 Å, b = 4.582 Å, c = 3.629 Å
α = 90.00°, β = 90.00°, γ = 90.00°
Fractional positions:
Cr1 0.000 0.000 0.000
Tc1 0.000 0.500 0.000
Tc2 0.500 0.000 0.000
As1 0.500 0.500 0.500
F1 0.000 0.000 0.500